No. 1
{"formula": "Rb2LaGaTe4", "functional": "PBE", "state": "relaxed", "lattice": [[-7.0944, 6.0971, -1.9036], [-6.0505, -6.7380, 3.0199], [7.4235, 2.8168, 5.7694]], "species": ["Te", "Te", "Te", "Te", "Te", "Te", "Te", "Te", "Rb", "Rb", "Rb", "Rb", "La", "La", "Ga", "Ga"], "fractional_positions": [[0.2751, 0.2935, 0.4787], [0.7894, 0.2612, 0.0292], [0.2388, 0.7106, 0.4708], [0.7249, 0.7065, 0.5213], [0.7612, 0.2894, 0.5292], [0.7935, 0.7751, 0.9787], [0.2065, 0.2249, 0.0213], [0.2106, 0.7388, 0.9708], [0.5000, 0.0000, 0.0000], [0.5000, 0.0000, 0.5000], [0.5000, 0.5000, 0.0000], [0.0000, 0.0000, 0.5000], [0.0000, 0.5000, 0.5000], [0.0000, 0.5000, 0.0000], [0.5000, 0.5000, 0.5000], [0.0000, 0.0000, 0.0000]], "crystal_system": "monoclinic", "raw_formation_energy_mev_per_atom": -882}

No. 2
{"formula": "RbLaTl2Ga", "functional": "PBE", "state": "relaxed", "lattice": [[6.3256, 0.0000, 0.0000], [0.0000, 6.3256, 0.0000], [0.0000, 0.0000, 5.8452]], "species": ["Tl", "Tl", "Ga", "Rb", "La"], "fractional_positions": [[0.0000, 0.5000, 0.0000], [0.5000, 0.0000, 0.0000], [0.0000, 0.0000, 0.5000], [0.5000, 0.5000, 0.5000], [0.0000, 0.0000, 0.0000]], "crystal_system": "tetragonal", "ef_ev_per_fu": 1.31}

No. 3
{"formula": "RbLa2ZrGa", "functional": "PBE", "state": "relaxed", "lattice": [[-0.3517, 5.6261, -0.1467], [-1.1537, -0.2114, -5.3425], [-5.5009, -0.3126, 1.2003]], "species": ["Zr", "Rb", "Ga", "La", "La"], "fractional_positions": [[0.5000, 0.5000, 0.5000], [0.0000, 0.0000, 0.0000], [0.0000, 0.5000, 0.0000], [0.0000, 0.0000, 0.5000], [0.5000, 0.0000, 0.0000]], "crystal_system": "tetragonal", "ef_ev_per_fu": 6.81}

No. 4
{"formula": "LaGa2Re", "functional": "PBE", "state": "relaxed", "lattice": [[-1.8871, -4.3791, -0.5536], [-1.2762, -2.5678, 3.8499], [-4.6447, -0.7500, 0.9528]], "species": ["Ga", "Ga", "La", "Re"], "fractional_positions": [[0.2500, 0.2500, 0.2500], [0.7500, 0.7500, 0.7500], [0.0000, 0.0000, 0.0000], [0.5000, 0.5000, 0.5000]], "crystal_system": "cubic", "relative_energy_ev_per_atom": 0.0000, "ef_ev_per_fu": 0.29}

No. 5
{"formula": "LaGaRe3", "functional": "PBE", "state": "relaxed", "lattice": [[-2.7375, -2.6921, -2.6933], [3.6448, -2.8134, -0.8924], [-1.1034, -2.6140, 3.7343]], "species": ["Ga", "Re", "Re", "Re", "La"], "fractional_positions": [[0.0000, 0.0000, 0.0000], [0.0000, 0.5000, 0.0000], [0.5000, 0.0000, 0.0000], [0.0000, 0.0000, 0.5000], [0.5000, 0.5000, 0.5000]], "crystal_system": "cubic", "relative_energy_ev_per_atom": 0.0000, "ef_ev_per_fu": 6.71}

No. 6
{"formula": "LaGa2Re", "functional": "PBE", "state": "relaxed", "lattice": [[-2.5284, 1.2767, -3.8975], [-3.9829, 0.3278, 2.6911], [-1.4989, 9.1241, 0.9832]], "species": ["Re", "Re", "La", "La", "Ga", "Ga", "Ga", "Ga"], "fractional_positions": [[0.7500, 0.2500, 0.5000], [0.0000, 0.0000, 0.0000], [0.2500, 0.7500, 0.5000], [0.5000, 0.5000, 0.0000], [0.8386, 0.1250, 0.2500], [0.9114, 0.6250, 0.2500], [0.8750, 0.0886, 0.7500], [0.3750, 0.1614, 0.7500]], "crystal_system": "tetragonal", "relative_energy_ev_per_atom": 0.0897, "ef_ev_per_fu": 0.64}

No. 7
{"formula": "La2GaRe", "functional": "PBE", "state": "relaxed", "lattice": [[8.4563, 0.0000, 0.0000], [0.0000, 8.4563, 0.0000], [4.2282, 4.2282, 2.9269]], "species": ["La", "La", "La", "La", "Ga", "Ga", "Re", "Re"], "fractional_positions": [[0.6852, 0.1250, 0.2500], [0.8750, 0.9352, 0.7500], [0.0648, 0.6250, 0.2500], [0.3750, 0.3148, 0.7500], [0.2500, 0.7500, 0.5000], [0.5000, 0.5000, 0.0000], [0.0000, 0.0000, 0.0000], [0.7500, 0.2500, 0.5000]], "crystal_system": "tetragonal", "ef_ev_per_fu": 1.33}

No. 8
{"formula": "LaGa3Re", "functional": "PBE", "state": "relaxed", "lattice": [[-2.9849, 0.2336, -3.7933], [1.1554, -4.5393, -1.1887], [-3.6206, -1.6412, 2.7479]], "species": ["Ga", "Ga", "Ga", "Re", "La"], "fractional_positions": [[0.0000, 0.5000, 0.0000], [0.0000, 0.0000, 0.5000], [0.5000, 0.0000, 0.0000], [0.0000, 0.0000, 0.0000], [0.5000, 0.5000, 0.5000]], "crystal_system": "cubic", "relative_energy_ev_per_atom": 0.0000, "ef_ev_per_fu": -1.55}

No. 9
{"formula": "LaGa3Re", "functional": "PBE", "state": "relaxed", "lattice": [[5.3482, 0.0000, 0.0000], [0.0000, 5.3482, 0.0000], [0.0000, 0.0000, 5.3482]], "species": ["La", "Ga", "Ga", "Ga", "Re"], "fractional_positions": [[0.0000, 0.0000, 0.0000], [0.5000, 0.0000, 0.0000], [0.0000, 0.5000, 0.0000], [0.0000, 0.0000, 0.5000], [0.5000, 0.5000, 0.5000]], "crystal_system": "cubic", "relative_energy_ev_per_atom": 2.4632, "ef_ev_per_fu": 10.77}

No. 10
{"formula": "LaGaRe3", "functional": "PBE", "state": "relaxed", "lattice": [[-4.1638, 0.7932, -2.3798], [1.6680, -2.5689, -3.7747], [-1.8736, -4.0499, 1.9282]], "species": ["Re", "Re", "Re", "Ga", "La"], "fractional_positions": [[0.0000, 0.5000, 0.0000], [0.5000, 0.0000, 0.0000], [0.0000, 0.0000, 0.5000], [0.5000, 0.5000, 0.5000], [0.0000, 0.0000, 0.0000]], "crystal_system": "cubic", "relative_energy_ev_per_atom": 1.6929, "ef_ev_per_fu": 15.17}

No. 11
{"formula": "LaGa2Re2", "functional": "PBE", "state": "relaxed", "lattice": [[-0.5185, 2.1657, 4.0124], [-0.8168, -4.0171, 2.0627], [4.0558, -1.4323, 3.9214]], "species": ["Ga", "Ga", "La", "Re", "Re"], "fractional_positions": [[0.2500, 0.7500, 0.5000], [0.7500, 0.2500, 0.5000], [0.0000, 0.0000, 0.0000], [0.3803, 0.3803, 0.2394], [0.6197, 0.6197, 0.7606]], "crystal_system": "tetragonal", "ef_ev_per_fu": -0.25}

No. 12
{"formula": "LaGaRh", "functional": "PBE", "state": "relaxed", "lattice": [[4.4083, 0.0092, 0.0079], [-1.7101, 5.1555, -0.0038], [-2.0478, -0.8964, 5.7087]], "species": ["La", "La", "Ga", "Ga", "Rh", "Rh"], "fractional_positions": [[0.2188, 0.6884, 0.3094], [0.7812, 0.3116, 0.6906], [0.5690, 0.7782, 0.9092], [0.4310, 0.2218, 0.0908], [0.0084, 0.8690, 0.7083], [0.9916, 0.1310, 0.2917]], "crystal_system": "triclinic", "ef_ev_per_fu": -2.35}

Number 1: N(E_F) 2.5 states/eV per cell. Number 2: N(E_F) 8.2 states/eV per cell. Number 3: N(E_F) 6.2 states/eV per cell. Number 4: N(E_F) 4.8 states/eV per cell. Number 5: N(E_F) 10.7 states/eV per cell. Number 6: N(E_F) 3.5 states/eV per cell. Number 7: N(E_F) 7.1 states/eV per cell. Number 8: N(E_F) 2.0 states/eV per cell. Number 9: N(E_F) 18.5 states/eV per cell. Number 10: N(E_F) 8.5 states/eV per cell. Number 11: N(E_F) 5.5 states/eV per cell. Number 12: N(E_F) 4.2 states/eV per cell.